VASP calculation (GGA-PBEsol) on a relaxed structure of CaNb2HgC.

Computed properties:
SG: P4/mmm, No. 123
DOS at the Fermi energy: 4.75 states/eV/cell
formation enthalpy at 0 K: 0.0324 eV per atom

Unit cell a=4.312 b=4.312 c=4.822 alpha=90.00 beta=90.00 gamma=90.00
Atoms (fractional coordinates):
Ca: 0.000 0.000 0.000
Nb: 0.000 0.500 0.500
Nb: 0.500 0.000 0.500
Hg: 0.500 0.500 0.000
C: 0.000 0.000 0.500